11
Lattice="-4.792 -0.785 -2.337 4.442 -2.245 -2.067 -0.669 -3.396 4.515" Properties=species:S:1:pos:R:3 comment="PBE with a Hubbard U MnCd2Ga2O6, optimized geometry" spacegroup="C2/m (12)" total_magnetization_mub_per_atom=0.453 dft_energy_ev_per_cell=-61.07 pbc="T T T"
Mn -0.335 -1.698 2.257
Cd -3.280 -1.024 -2.293
Cd 2.930 -2.006 -2.111
Ga 1.004 -3.452 0.100
Ga -2.023 -2.974 0.011
O -0.717 -4.538 -0.014
O 1.161 -3.377 2.214
O -0.302 -1.888 0.125
O -2.270 -2.834 2.114
O -2.180 -3.049 -2.104
O 1.250 -3.592 -2.003